Record 1
# PuGeBi2

A relaxed PuGeBi2 crystal (PBE, the Alexandria database).

## Properties
- crystal system = tetragonal
- excess energy over the best structure of this formula in the dataset (kJ/mol of atoms) = 9.2
- symmetry = P4/mmm
- E (eV per cell) = -27.1
- energy of formation (eV per atom) = -0.09

Unit cell a=4.180 b=4.180 c=6.293 alpha=90.00 beta=90.00 gamma=90.00
Element x y z (fractional)
Pu  0.000  0.000  0.000
Ge  0.000  0.000  0.500
Bi  0.500  0.500  0.253
Bi  0.500  0.500  0.747

Record 2
# Pu5Ge4Bi

A relaxed Pu5Ge4Bi crystal (PBE, the Alexandria database).

## Properties
- crystal system = tetragonal
- symmetry = P4/mmm
- E (eV per cell) = -97.9
- energy of formation (eV per atom) = -0.39

Unit cell a=3.852 b=3.852 c=15.374 alpha=90.00 beta=90.00 gamma=90.00
Element x y z (fractional)
Pu  0.000  0.000  0.000
Pu  0.000  0.000  0.180
Pu  0.000  0.000  0.373
Pu  0.000  0.000  0.627
Pu  0.000  0.000  0.820
Ge  0.500  0.500  0.093
Ge  0.500  0.500  0.273
Ge  0.500  0.500  0.727
Ge  0.500  0.500  0.907
Bi  0.500  0.500  0.500

Record 3
# Rb3Ge2Bi2

A relaxed Rb3Ge2Bi2 crystal (PBE, the Alexandria database).

## Properties
- crystal system = orthorhombic
- symmetry = Immm
- E (eV per cell) = -42.5
- energy of formation (eV per atom) = -0.20

Unit cell a=5.071 b=5.786 c=20.241 alpha=90.00 beta=90.00 gamma=90.00
Element x y z (fractional)
Rb  0.000  0.000  0.000
Rb  0.000  0.500  0.321
Rb  0.000  0.500  0.679
Rb  0.500  0.000  0.179
Rb  0.500  0.000  0.821
Rb  0.500  0.500  0.500
Ge  0.000  0.000  0.441
Ge  0.000  0.000  0.559
Ge  0.500  0.500  0.059
Ge  0.500  0.500  0.941
Bi  0.000  0.500  0.123
Bi  0.000  0.500  0.877
Bi  0.500  0.000  0.377
Bi  0.500  0.000  0.623

Record 4
# Rb2GeBi

A relaxed Rb2GeBi crystal (PBE, the Alexandria database).

## Properties
- crystal system = cubic
- excess energy over the best structure of this formula in the dataset (kJ/mol of atoms) = 27.9
- symmetry = Fm-3m
- E (eV per cell) = -38.2
- energy of formation (eV per atom) = 0.22

Unit cell a=8.594 b=8.594 c=8.594 alpha=90.00 beta=90.00 gamma=90.00
Element x y z (fractional)
Rb  0.250  0.250  0.250
Rb  0.250  0.250  0.750
Rb  0.250  0.750  0.250
Rb  0.250  0.750  0.750
Rb  0.750  0.250  0.250
Rb  0.750  0.250  0.750
Rb  0.750  0.750  0.250
Rb  0.750  0.750  0.750
Ge  0.000  0.000  0.000
Ge  0.000  0.500  0.500
Ge  0.500  0.000  0.500
Ge  0.500  0.500  0.000
Bi  0.000  0.000  0.500
Bi  0.000  0.500  0.000
Bi  0.500  0.000  0.000
Bi  0.500  0.500  0.500

Record 5
# Rb2GeBi

A relaxed Rb2GeBi crystal (PBE, the Alexandria database).

## Properties
- crystal system = tetragonal
- excess energy over the best structure of this formula in the dataset (kJ/mol of atoms) = 9.0
- symmetry = I-42d
- E (eV per cell) = -41.4
- energy of formation (eV per atom) = 0.02

Unit cell a=13.798 b=13.798 c=5.393 alpha=90.00 beta=90.00 gamma=90.00
Element x y z (fractional)
Rb  0.037  0.250  0.125
Rb  0.250  0.537  0.375
Rb  0.250  0.963  0.875
Rb  0.463  0.250  0.625
Rb  0.537  0.750  0.625
Rb  0.750  0.037  0.875
Rb  0.750  0.463  0.375
Rb  0.963  0.750  0.125
Ge  0.000  0.000  0.000
Ge  0.000  0.500  0.250
Ge  0.500  0.000  0.750
Ge  0.500  0.500  0.500
Bi  0.000  0.000  0.500
Bi  0.000  0.500  0.750
Bi  0.500  0.000  0.250
Bi  0.500  0.500  0.000

Record 6
# Rb3GeBi

A relaxed Rb3GeBi crystal (PBE, the Alexandria database).

## Properties
- crystal system = triclinic
- excess energy over the best structure of this formula in the dataset (kJ/mol of atoms) = 0.0
- symmetry = P-1
- E (eV per cell) = -24.6
- energy of formation (eV per atom) = -0.18

Unit cell a=4.037 b=10.600 c=11.161 alpha=118.26 beta=100.34 gamma=90.10
Element x y z (fractional)
Rb  0.072  0.476  0.147
Rb  0.095  0.148  0.181
Rb  0.233  0.818  0.465
Rb  0.767  0.182  0.535
Rb  0.905  0.852  0.819
Rb  0.928  0.524  0.853
Ge  0.284  0.508  0.569
Ge  0.716  0.492  0.431
Bi  0.418  0.172  0.837
Bi  0.582  0.828  0.163

Number 1: Fermi-level density of states 9.18 states/eV/cell. Number 2: Fermi-level density of states 35.63 states/eV/cell. Number 3: Fermi-level density of states 5.71 states/eV/cell. Number 4: Fermi-level density of states 12.27 states/eV/cell. Number 5: Fermi-level density of states 6.77 states/eV/cell. Number 6: Fermi-level density of states 8.49 states/eV/cell.